No. 1
A relaxed structure of CrPdO2. Source: Alexandria via LeMat-Bulk, functional PBE with a Hubbard U.

Lattice parameters (Å, degrees): 3.2427 3.2427 4.3368 90.00 90.00 90.00
Space group P4/mmm (No. 123)
Asymmetric unit:
Cr: 0.0000 0.0000 0.0000
Pd: 0.5000 0.5000 0.5000
O: 0.0000 0.0000 0.5000
O: 0.5000 0.5000 0.0000

**Offset from the most stable computed form**: 0.592 eV/atom

No. 2
A relaxed structure of CrPdO2. Source: Alexandria via LeMat-Bulk, functional PBE with a Hubbard U.

Lattice parameters (Å, degrees): 9.3584 4.7634 4.9217 90.00 111.98 90.00
Space group C2 (No. 5)
Asymmetric unit:
Cr: 0.1173 0.0000 0.3152
Pd: 0.1484 0.3793 0.9314
O: 0.0000 0.2116 0.5000
O: 0.0000 0.7490 0.0000
O: 0.2190 0.7583 0.6347

**Offset from the most stable computed form**: 0.504 eV/atom

No. 3
A relaxed structure of CrPdO2. Source: Alexandria via LeMat-Bulk, functional PBE with a Hubbard U.

Lattice parameters (Å, degrees): 3.9068 3.9068 2.8181 90.00 90.00 90.00
Space group P4/mmm (No. 123)
Asymmetric unit:
Cr: 0.0000 0.0000 0.0000
Pd: 0.5000 0.5000 0.0000
O: 0.0000 0.5000 0.5000

**Offset from the most stable computed form**: 1.119 eV/atom

No. 4
A relaxed structure of CrPd3O. Source: Alexandria via LeMat-Bulk, functional PBE with a Hubbard U.

Lattice parameters (Å, degrees): 4.2338 4.2338 4.2338 90.00 90.00 90.00
Space group Pm-3m (No. 221)
Asymmetric unit:
Cr: 0.0000 0.0000 0.0000
Pd: 0.0000 0.5000 0.5000
O: 0.5000 0.5000 0.5000

**Offset from the most stable computed form**: 0.000 eV/atom

No. 5
A relaxed structure of CrPd2O. Source: Alexandria via LeMat-Bulk, functional PBE with a Hubbard U.

Lattice parameters (Å, degrees): 7.9552 7.9552 3.9635 90.00 90.00 90.00
Space group I-42d (No. 122)
Asymmetric unit:
Cr: 0.0000 0.0000 0.0000
Pd: 0.1345 0.2500 0.6250
O: 0.0000 0.0000 0.5000

**Raw total energy**: -5.752 eV per atom

No. 6
A relaxed structure of CrPdO2. Source: Alexandria via LeMat-Bulk, functional PBE with a Hubbard U.

Lattice parameters (Å, degrees): 3.1352 17.3419 3.7698 90.00 90.00 90.00
Space group Cmcm (No. 63)
Asymmetric unit:
Cr: 0.0000 0.0672 0.2500
Pd: 0.0000 0.3126 0.2500
O: 0.0000 0.0501 0.7500
O: 0.0000 0.1813 0.2500

**Offset from the most stable computed form**: 0.773 eV/atom

no.,calculated density (Mg/m³)
1,6.93
2,6.22
3,7.35
4,8.47
5,7.44
6,6.17